No. 1
# CaCuIr PBE relaxed
data_CaCuIr
_chemical_formula_sum 'Ca4 Cu4 Ir4'
_cell_length_a 6.194
_cell_length_b 6.194
_cell_length_c 6.194
_cell_angle_alpha 90.00
_cell_angle_beta 90.00
_cell_angle_gamma 90.00
_symmetry_space_group_name_H-M 'F -4 3 m'
_symmetry_Int_Tables_number 216
_symmetry_space_group_name_Hall 'F -4 2 3'
loop_
_atom_site_label
_atom_site_fract_x
_atom_site_fract_y
_atom_site_fract_z
Ca1 0.000 0.000 0.000
Cu1 0.250 0.250 0.250
Ir1 0.000 0.000 0.500
# Formation enthalpy at 0 K = 0.71 eV per formula unit
# Size of the total moment = 0.0 μB/cell
# E above lowest polymorph = 573.2 meV/atom
# Density of states at the Fermi level = 1.261 states/eV/atom
# E = -57.0 eV/cell

---

No. 2
# Ca3Cu3Ir PBE relaxed
data_Ca3Cu3Ir
_chemical_formula_sum 'Ca12 Cu12 Ir4'
_cell_length_a 10.431
_cell_length_b 4.131
_cell_length_c 15.000
_cell_angle_alpha 90.00
_cell_angle_beta 106.45
_cell_angle_gamma 90.00
_symmetry_space_group_name_H-M 'C 1 2/m 1'
_symmetry_Int_Tables_number 12
loop_
_symmetry_equiv_pos_as_xyz
'x,y,z'
'-x,-y,-z'
'-x,y,-z'
'x,-y,z'
'x+1/2,y+1/2,z'
'-x+1/2,-y+1/2,-z'
'-x+1/2,y+1/2,-z'
'x+1/2,-y+1/2,z'
loop_
_atom_site_label
_atom_site_fract_x
_atom_site_fract_y
_atom_site_fract_z
Ca1 0.013 0.000 0.385
Ca2 0.112 0.000 0.923
Ca3 0.244 0.000 0.237
Cu1 0.033 0.500 0.224
Cu2 0.091 0.500 0.073
Cu3 0.195 0.500 0.536
Ir1 0.216 0.500 0.370
# Formation enthalpy at 0 K = -1.14 eV per formula unit
# Size of the total moment = 0.0 μB/cell
# Density of states at the Fermi level = 0.438 states/eV/atom
# E = -113.2 eV/cell

---

No. 3
# CaCuIr PBE relaxed
data_CaCuIr
_chemical_formula_sum 'Ca2 Cu2 Ir2'
_cell_length_a 3.359
_cell_length_b 3.372
_cell_length_c 9.845
_cell_angle_alpha 90.00
_cell_angle_beta 90.00
_cell_angle_gamma 90.00
_symmetry_space_group_name_H-M 'I m m 2'
_symmetry_Int_Tables_number 44
loop_
_symmetry_equiv_pos_as_xyz
'x,y,z'
'-x,-y,z'
'-x,y,z'
'x,-y,z'
'x+1/2,y+1/2,z+1/2'
'-x+1/2,-y+1/2,z+1/2'
'-x+1/2,y+1/2,z+1/2'
'x+1/2,-y+1/2,z+1/2'
loop_
_atom_site_label
_atom_site_fract_x
_atom_site_fract_y
_atom_site_fract_z
Ca1 0.000 0.000 0.000
Cu1 0.000 0.000 0.286
Ir1 0.000 0.000 0.702
# Formation enthalpy at 0 K = -0.08 eV per formula unit
# Size of the total moment = 0.0 μB/cell
# E above lowest polymorph = 312.5 meV/atom
# Density of states at the Fermi level = 0.459 states/eV/atom
# E = -30.1 eV/cell

---

No. 4
# Ca2CuIr PBE relaxed
data_Ca2CuIr
_chemical_formula_sum 'Ca6 Cu3 Ir3'
_cell_length_a 4.2469
_cell_length_b 4.2469
_cell_length_c 21.1344
_cell_angle_alpha 90.00
_cell_angle_beta 90.00
_cell_angle_gamma 120.00
_symmetry_space_group_name_H-M 'R 3 m'
_symmetry_Int_Tables_number 160
_symmetry_space_group_name_Hall 'R 3 -2"'
loop_
_atom_site_label
_atom_site_fract_x
_atom_site_fract_y
_atom_site_fract_z
Ca1 0.0000 0.0000 0.0000
Ca2 0.0000 0.0000 0.1678
Cu1 0.0000 0.0000 0.4170
Ir1 0.0000 0.0000 0.7509
# Formation enthalpy at 0 K = -0.85 eV per formula unit
# Size of the total moment = 0.0 μB/cell
# Density of states at the Fermi level = 0.825 states/eV/atom
# E = -53.4 eV/cell